Entry 1:
A plane-wave DFT calculation with PBE was carried out for Ba3Ta2O8 after structural relaxation.

* E_tot: -107.60 eV/cell
* SG: No. 166
* total moment: 0.00 μB/f.u.

Lattice parameters (Å, degrees): 8.0096 8.0096 8.0096 45.33 45.33 45.33
Closest atoms and distances in Å follow each position.
Element x y z (fractional)
Ba  0.0000  0.0000  0.0000  6 O 2.82
Ba  0.1990  0.1990  0.1990  4 O 2.60-2.77
Ba  0.8010  0.8010  0.8010  4 O 2.60-2.77
Ta  0.4059  0.4059  0.4059  4 O 1.86-1.87
Ta  0.5941  0.5941  0.5941  4 O 1.86-1.87
O  0.2343  0.7312  0.7312  1 Ta 1.87
O  0.2688  0.2688  0.7657  1 Ta 1.87
O  0.2688  0.7657  0.2688  1 Ta 1.87
O  0.3197  0.3197  0.3197  1 Ta 1.86
O  0.6803  0.6803  0.6803  1 Ta 1.86
O  0.7312  0.2343  0.7312  1 Ta 1.87
O  0.7312  0.7312  0.2343  1 Ta 1.87
O  0.7657  0.2688  0.2688  1 Ta 1.87

Entry 2:
A plane-wave DFT calculation with PBE was carried out for BaTa2O6 after structural relaxation.

* E_tot: -81.93 eV/cell
* SG: No. 123
* total moment: 0.00 μB/f.u.

Lattice parameters (Å, degrees): 4.0044 4.0044 8.1565 90.00 90.00 90.00
Closest atoms and distances in Å follow each position.
Element x y z (fractional)
Ba  0.0000  0.0000  0.0000  12 O 2.82-2.83
Ta  0.5000  0.5000  0.2649  5 O 1.92-2.01
Ta  0.5000  0.5000  0.7351  5 O 1.92-2.01
O  0.0000  0.5000  0.2439  2 Ta 2.01
O  0.0000  0.5000  0.7561  2 Ta 2.01
O  0.5000  0.0000  0.2439  2 Ta 2.01
O  0.5000  0.0000  0.7561  2 Ta 2.01
O  0.5000  0.5000  0.0000  2 Ta 2.16
O  0.5000  0.5000  0.5000  2 Ta 1.92

Entry 3:
A plane-wave DFT calculation with PBE was carried out for Ba3Ta2O9 after structural relaxation.

* E_tot: -110.37 eV/cell
* SG: No. 164
* total moment: 2.09 μB/f.u.

Lattice parameters (Å, degrees): 5.9172 5.9172 7.4991 90.00 90.00 120.00
Closest atoms and distances in Å follow each position.
Element x y z (fractional)
Ba  0.0000  0.0000  0.0000  12 O 2.94-2.96
Ba  0.3333  0.6667  0.3590  12 O 2.97-3.19
Ba  0.6667  0.3333  0.6410  12 O 2.97-3.19
Ta  0.3333  0.6667  0.8389  6 O 1.92-2.09
Ta  0.6667  0.3333  0.1611  6 O 1.92-2.09
O  0.0000  0.5000  0.0000  2 Ta 2.09
O  0.1787  0.3573  0.6937  1 Ta 1.92
O  0.1787  0.8213  0.6937  1 Ta 1.92
O  0.3573  0.1787  0.3063  1 Ta 1.92
O  0.5000  0.0000  0.0000  2 Ta 2.09
O  0.5000  0.5000  0.0000  2 Ta 2.09
O  0.6427  0.8213  0.6937  1 Ta 1.92
O  0.8213  0.1787  0.3063  1 Ta 1.92
O  0.8213  0.6427  0.3063  1 Ta 1.92

Entry 4:
A plane-wave DFT calculation with PBE was carried out for BaTa4O12 after structural relaxation.

* E_tot: -153.31 eV/cell
* SG: No. 229
* total moment: 1.31 μB/f.u.

Lattice parameters (Å, degrees): 6.9232 6.9232 6.9232 109.47 109.47 109.47
Closest atoms and distances in Å follow each position.
Element x y z (fractional)
Ba  0.0000  0.0000  0.0000  12 O 2.79
Ta  0.0000  0.0000  0.5000  6 O 2.00
Ta  0.0000  0.5000  0.0000  6 O 2.00
Ta  0.5000  0.0000  0.0000  6 O 2.00
Ta  0.5000  0.5000  0.5000  6 O 2.00
O  0.0000  0.2468  0.7532  2 Ta 2.00
O  0.0000  0.7532  0.2468  2 Ta 2.00
O  0.2468  0.0000  0.7532  2 Ta 2.00
O  0.2468  0.2468  0.4935  2 Ta 2.00
O  0.2468  0.4935  0.2468  2 Ta 2.00
O  0.2468  0.7532  0.0000  2 Ta 2.00
O  0.4935  0.2468  0.2468  2 Ta 2.00
O  0.5065  0.7532  0.7532  2 Ta 2.00
O  0.7532  0.0000  0.2468  2 Ta 2.00
O  0.7532  0.2468  0.0000  2 Ta 2.00
O  0.7532  0.5065  0.7532  2 Ta 2.00
O  0.7532  0.7532  0.5065  2 Ta 2.00

Entry 5:
A plane-wave DFT calculation with PBE was carried out for Ba2TaO5 after structural relaxation.

* E_tot: -248.18 eV/cell
* polymorph energy (0 for the lowest one): 0 kJ/mol of formula units
* SG: No. 62
* total moment: 1.03 μB/f.u.

Lattice parameters (Å, degrees): 7.7007 5.9285 11.6225 90.00 90.00 90.00
Closest atoms and distances in Å follow each position.
Element x y z (fractional)
Ba  0.0204  0.2500  0.2154  6 O 2.66-2.91
Ba  0.1659  0.7500  0.4180  8 O 2.77-3.06
Ba  0.3341  0.2500  0.9180  8 O 2.77-3.06
Ba  0.4796  0.7500  0.7154  6 O 2.66-2.91
Ba  0.5204  0.2500  0.2846  6 O 2.66-2.91
Ba  0.6659  0.7500  0.0820  8 O 2.77-3.06
Ba  0.8341  0.2500  0.5820  8 O 2.77-3.06
Ba  0.9796  0.7500  0.7846  6 O 2.66-2.91
Ta  0.1940  0.7500  0.0608  4 O 1.90-1.99
Ta  0.3060  0.2500  0.5608  4 O 1.90-1.99
Ta  0.6940  0.7500  0.4392  4 O 1.90-1.99
Ta  0.8060  0.2500  0.9392  4 O 1.90-1.99
O  0.0000  0.0000  0.0000  2 Ta 2.22
O  0.0000  0.5000  0.0000  2 Ta 2.22
O  0.0038  0.7500  0.1773  1 Ta 1.99
O  0.1703  0.0071  0.6170  1 Ta 1.90
O  0.1703  0.4929  0.6170  1 Ta 1.90
O  0.2241  0.2500  0.4021  1 Ta 1.95
O  0.2759  0.7500  0.9021  1 Ta 1.95
O  0.3297  0.5071  0.1170  1 Ta 1.90
O  0.3297  0.9929  0.1170  1 Ta 1.90
O  0.4962  0.2500  0.6773  1 Ta 1.99
O  0.5000  0.0000  0.5000  2 Ta 2.22
O  0.5000  0.5000  0.5000  2 Ta 2.22
O  0.5038  0.7500  0.3227  1 Ta 1.99
O  0.6703  0.0071  0.8830  1 Ta 1.90
O  0.6703  0.4929  0.8830  1 Ta 1.90
O  0.7241  0.2500  0.0979  1 Ta 1.95
O  0.7759  0.7500  0.5979  1 Ta 1.95
O  0.8297  0.5071  0.3830  1 Ta 1.90
O  0.8297  0.9929  0.3830  1 Ta 1.90
O  0.9962  0.2500  0.8227  1 Ta 1.99

Entry 6:
A plane-wave DFT calculation with PBE was carried out for BaTa6O16 after structural relaxation.

* E_tot: -218.97 eV/cell
* SG: No. 38
* total moment: 0.00 μB/f.u.

Lattice parameters (Å, degrees): 3.9164 9.2302 9.2302 68.57 90.00 90.00
Closest atoms and distances in Å follow each position.
Element x y z (fractional)
Ba  0.0000  0.0000  0.0000  9 O 2.71-2.92
Ta  0.5000  0.0194  0.6476  6 O 1.90-2.11
Ta  0.5000  0.1944  0.1944  6 O 1.96-2.01
Ta  0.5000  0.3996  0.7696  6 O 1.96-2.10
Ta  0.5000  0.4073  0.4073  7 O 1.96-2.15
Ta  0.5000  0.6476  0.0194  6 O 1.90-2.11
Ta  0.5000  0.7696  0.3996  6 O 1.96-2.10
O  0.0000  0.0280  0.6750  2 Ta 1.98
O  0.0000  0.1856  0.1856  2 Ta 1.96
O  0.0000  0.3920  0.7714  2 Ta 1.96
O  0.0000  0.4032  0.4032  2 Ta 1.96
O  0.0000  0.6750  0.0280  2 Ta 1.98
O  0.0000  0.7714  0.3920  2 Ta 1.96
O  0.5000  0.1718  0.4169  3 Ta 1.99-2.14
O  0.5000  0.2226  0.9679  2 Ta 1.96-2.01
O  0.5000  0.2493  0.6453  3 Ta 2.10-2.15
O  0.5000  0.4169  0.1718  3 Ta 1.99-2.14
O  0.5000  0.5427  0.5427  3 Ta 2.03-2.06
O  0.5000  0.5598  0.8627  2 Ta 1.90-1.96
O  0.5000  0.6453  0.2493  3 Ta 2.10-2.15
O  0.5000  0.8627  0.5598  2 Ta 1.90-1.96
O  0.5000  0.8770  0.8770  2 Ta 2.04
O  0.5000  0.9679  0.2226  2 Ta 1.96-2.01

Entry 7:
A plane-wave DFT calculation with PBE was carried out for Ba2Ta3O10 after structural relaxation.

* E_tot: -261.72 eV/cell
* SG: No. 12
* total moment: 1.09 μB/f.u.

Lattice parameters (Å, degrees): 9.9909 9.9909 8.0845 111.75 111.75 35.90
Closest atoms and distances in Å follow each position.
Element x y z (fractional)
Ba  0.1106  0.1106  0.2086  8 O 2.78-3.04
Ba  0.2133  0.2133  0.8279  4 O 2.63-2.93
Ba  0.7867  0.7867  0.1721  4 O 2.63-2.93
Ba  0.8894  0.8894  0.7914  8 O 2.78-3.04
Ta  0.2442  0.7558  0.5000  6 O 1.98-2.08
Ta  0.3172  0.3172  0.4792  5 O 1.86-2.05
Ta  0.4189  0.4189  0.0332  5 O 1.88-2.09
Ta  0.5811  0.5811  0.9668  5 O 1.88-2.09
Ta  0.6828  0.6828  0.5208  5 O 1.86-2.05
Ta  0.7558  0.2442  0.5000  6 O 1.98-2.08
O  0.0000  0.5000  0.5000  2 Ta 2.05
O  0.0222  0.0222  0.6713  2 Ta 1.98
O  0.1198  0.5908  0.0283  1 Ta 1.88
O  0.1651  0.6235  0.4862  2 Ta 1.98-2.02
O  0.2655  0.2655  0.2315  1 Ta 1.86
O  0.2938  0.7062  0.0000  2 Ta 2.09
O  0.3638  0.3638  0.7599  2 Ta 2.04-2.09
O  0.3765  0.8349  0.5138  2 Ta 1.98-2.02
O  0.4092  0.8802  0.9717  1 Ta 1.88
O  0.4735  0.4735  0.3169  3 Ta 2.08-2.12
O  0.5000  0.0000  0.5000  2 Ta 2.05
O  0.5265  0.5265  0.6831  3 Ta 2.08-2.12
O  0.5908  0.1198  0.0283  1 Ta 1.88
O  0.6235  0.1651  0.4862  2 Ta 1.98-2.02
O  0.6362  0.6362  0.2401  2 Ta 2.04-2.09
O  0.7062  0.2938  0.0000  2 Ta 2.09
O  0.7345  0.7345  0.7685  1 Ta 1.86
O  0.8349  0.3765  0.5138  2 Ta 1.98-2.02
O  0.8802  0.4092  0.9717  1 Ta 1.88
O  0.9778  0.9778  0.3287  2 Ta 1.98

Entry 8:
A plane-wave DFT calculation with PBE was carried out for Ba2Ta2O7 after structural relaxation.

* E_tot: -190.49 eV/cell
* polymorph energy (0 for the lowest one): 0 kJ/mol of formula units
* SG: No. 63
* total moment: 0.00 μB/f.u.

Lattice parameters (Å, degrees): 14.1207 14.1207 5.9424 90.00 90.00 163.41
Closest atoms and distances in Å follow each position.
Element x y z (fractional)
Ba  0.0520  0.9480  0.7500  12 O 2.75-2.97
Ba  0.2071  0.7929  0.2500  6 O 2.60-2.80
Ba  0.7929  0.2071  0.7500  6 O 2.60-2.80
Ba  0.9480  0.0520  0.2500  12 O 2.75-2.97
Ta  0.3407  0.6593  0.2500  4 O 1.86-2.05
Ta  0.4441  0.5559  0.7500  4 O 1.92-2.05
Ta  0.5559  0.4441  0.2500  4 O 1.92-2.05
Ta  0.6593  0.3407  0.7500  4 O 1.86-2.05
O  0.0494  0.9506  0.2500  2 Ta 2.05
O  0.1504  0.8496  0.7500  2 Ta 2.05
O  0.2949  0.7051  0.0229  1 Ta 1.86
O  0.2949  0.7051  0.4771  1 Ta 1.86
O  0.3999  0.6001  0.5020  1 Ta 1.92
O  0.3999  0.6001  0.9980  1 Ta 1.92
O  0.5000  0.5000  0.0000  2 Ta 2.15
O  0.5000  0.5000  0.5000  2 Ta 2.15
O  0.6001  0.3999  0.0020  1 Ta 1.92
O  0.6001  0.3999  0.4980  1 Ta 1.92
O  0.7051  0.2949  0.5229  1 Ta 1.86
O  0.7051  0.2949  0.9771  1 Ta 1.86
O  0.8496  0.1504  0.2500  2 Ta 2.05
O  0.9506  0.0494  0.7500  2 Ta 2.05